A relaxed Tb4DyIn4 crystal. Source: Alexandria via LeMat-Bulk, functional GGA-PBE.

abc: 7.1745 7.1745 10.6786
angles: 90.00 90.00 90.00
Fractional coordinates of all 18 atoms:
In1 0.2751 0.0000 0.2810
Tb1 0.5000 0.7739 0.0807
In2 0.7249 0.0000 0.2810
In3 0.0000 0.7249 0.7190
Tb2 0.2739 0.0000 0.5807
Tb3 0.0000 0.7261 0.4193
In4 0.7751 0.5000 0.2190
Tb4 0.7739 0.5000 0.9193
Tb5 0.0000 0.2739 0.4193
Tb6 0.2261 0.5000 0.9193
In5 0.5000 0.7751 0.7810
In6 0.5000 0.2249 0.7810
In7 0.2249 0.5000 0.2190
Tb7 0.7261 0.0000 0.5807
Dy1 0.0000 0.0000 0.0000
Dy2 0.5000 0.5000 0.5000
In8 0.0000 0.2751 0.7190
Tb8 0.5000 0.2261 0.0807

The density of states at the Fermi level is 0.661 states/eV/atom. The total magnetization is 0.0 μB/f.u. As for the space group: P4_2/nmc (137). For the volume, the calculation gives 30.54 Å³/atom. The calculation puts the formation energy at -123 meV/atom.